Below is a relaxed structure of AgSbCO5, with properties calculated at the PBE-GGA level.

Properties
DOS at the Fermi energy = 0.03 states/eV/atom
SG = C2/c, No. 15
density = 5.94 g cm⁻³
ΔE_f (raw) = -0.831 eV/atom

POSCAR file:
```
AgSbCO5
1.0
5.3922 0.1757 -0.1667
-1.4060 5.2087 -0.1667
-1.8606 -2.5132 6.4982
O C Ag Sb
10 2 2 2
direct
0.3161 0.8800 0.6497 O
0.0921 0.9079 0.2500 O
0.1200 0.6839 0.8503 O
0.4204 0.2402 0.0953 O
0.8800 0.3161 0.1497 O
0.6839 0.1200 0.3503 O
0.5796 0.7598 0.9047 O
0.7598 0.5796 0.4047 O
0.2402 0.4204 0.5953 O
0.9079 0.0921 0.7500 O
0.6916 0.3084 0.2500 C
0.3084 0.6916 0.7500 C
0.3505 0.6495 0.2500 Ag
0.6495 0.3505 0.7500 Ag
0.0000 0.0000 0.0000 Sb
0.0000 0.0000 0.5000 Sb
```